No. 1
Material: Sn13O10F6
Method: DFT, GGA-PBEsol
State: relaxed

abc: 7.0075 8.2098 22.1724
angles: 93.46 89.91 115.28
Closest atoms and distances in Å follow each position.
Element x y z (fractional)
1 Sn 0.8365 0.0009 0.7499  2 O 2.14, 2 F 2.26
2 Sn 0.0332 0.8154 0.8653  3 O 2.19-2.20
3 Sn 0.0932 0.2691 0.9076  3 O 2.22-2.23
4 F 0.3956 0.9416 0.6383  1 Sn 2.07
5 O 0.9957 0.6629 0.5178  4 Sn 2.21-2.23
6 Sn 0.7798 0.8138 0.3655  3 O 2.19-2.20
7 O 0.9841 0.0548 0.3199  3 Sn 2.14-2.19
8 O 0.3326 0.3376 0.9821  4 Sn 2.21-2.23
9 Sn 0.2202 0.1862 0.6345  3 O 2.19-2.20
10 Sn 0.9668 0.1846 0.1347  3 O 2.19-2.20
11 Sn 0.8060 0.0803 0.5220  4 O 2.21-2.30
12 Sn 0.2743 0.0801 0.0215  4 O 2.21-2.30
13 Sn 0.3500 0.5407 0.0562  4 O 2.21-2.41
14 Sn 0.7257 0.9199 0.9785  4 O 2.21-2.30
15 Sn 0.4431 0.6610 0.8429  2 O 2.11-2.19, 1 F 2.12
16 O 0.0092 0.7208 0.3985  4 Sn 2.11-2.31
17 O 0.6674 0.6624 0.0179  4 Sn 2.21-2.23
18 Sn 0.6500 0.4593 0.9438  4 O 2.21-2.41
19 O 0.0489 0.9950 0.5587  4 Sn 2.19-2.27
20 F 0.6044 0.0584 0.3617  1 Sn 2.07
21 O 0.9299 0.9434 0.1801  3 Sn 2.14-2.19
22 Sn 0.7850 0.3414 0.6575  2 O 2.11-2.19, 1 F 2.12
23 Sn 0.2150 0.6586 0.3425  2 O 2.11-2.19, 1 F 2.12
24 F 0.0810 0.2756 0.7272  2 Sn 2.26-2.48
25 Sn 0.1737 0.2676 0.4073  3 O 2.22-2.23
26 Sn 0.1635 0.9991 0.2501  2 O 2.14, 2 F 2.26
27 O 0.2891 0.2779 0.1013  4 Sn 2.11-2.30
28 F 0.3314 0.6364 0.4283  1 Sn 2.12
29 Sn 0.5569 0.3390 0.1571  2 O 2.11-2.19, 1 F 2.12
30 F 0.6965 0.3625 0.0714  1 Sn 2.12
31 O 0.9468 0.9941 0.0588  4 Sn 2.19-2.26
32 O 0.9863 0.3854 0.3612  3 Sn 2.11-2.22
33 Sn 0.6073 0.8058 0.2069  1 F 2.07, 2 O 2.11-2.15
34 O 0.0043 0.3371 0.4822  4 Sn 2.21-2.23
35 O 0.9908 0.2792 0.6015  4 Sn 2.11-2.31
36 O 0.7109 0.7221 0.8987  4 Sn 2.11-2.30
37 F 0.8043 0.7264 0.7729  2 Sn 2.26-2.48
38 F 0.4528 0.0611 0.8618  1 Sn 2.07
39 O 0.6019 0.6124 0.1389  3 Sn 2.11-2.22
40 O 0.0159 0.9452 0.6801  3 Sn 2.14-2.19
41 F 0.6686 0.3636 0.5717  1 Sn 2.12
42 O 0.0701 0.0566 0.8199  3 Sn 2.14-2.19
43 O 0.9511 0.0050 0.4413  4 Sn 2.19-2.27
44 O 0.0137 0.6146 0.6388  3 Sn 2.11-2.22
45 F 0.3035 0.6375 0.9286  1 Sn 2.12
46 Sn 0.1940 0.9197 0.4780  4 O 2.21-2.30
47 Sn 0.9068 0.7309 0.0924  3 O 2.22-2.23
48 Sn 0.7987 0.1919 0.2932  1 F 2.07, 2 O 2.11-2.15
49 Sn 0.8080 0.4586 0.4443  4 O 2.21-2.41
50 F 0.9190 0.7244 0.2728  2 Sn 2.26-2.48
51 Sn 0.8263 0.7324 0.5927  3 O 2.22-2.23
52 F 0.1957 0.2736 0.2271  2 Sn 2.26-2.48
53 F 0.5472 0.9389 0.1382  1 Sn 2.07
54 O 0.0532 0.0059 0.9412  4 Sn 2.19-2.26
55 O 0.3981 0.3876 0.8611  3 Sn 2.11-2.22
56 Sn 0.3927 0.1942 0.7931  1 F 2.07, 2 O 2.11-2.15
57 Sn 0.1920 0.5414 0.5557  4 O 2.21-2.41
58 Sn 0.2013 0.8081 0.7068  1 F 2.07, 2 O 2.11-2.15

Calculated values
Calculated volume = 19.84 Å³ per atom
Energy relative to the elements, uncorrected = -1538 meV per atom
Total energy = -328.05 eV per cell

No. 2
Material: Sn3O2F2
Method: DFT, GGA-PBEsol
State: relaxed

abc: 5.3449 8.7939 11.8895
angles: 90.00 90.00 90.00
Closest atoms and distances in Å follow each position.
Element x y z (fractional)
1 Sn 0.2500 0.4002 0.5677  4 O 2.21-2.25
2 O 0.0028 0.8997 0.0837  4 Sn 2.18-2.25
3 Sn 0.7500 0.1994 0.4113  1 F 2.07, 2 O 2.20
4 O 0.0028 0.6003 0.5837  4 Sn 2.18-2.25
5 O 0.4972 0.8997 0.0837  4 Sn 2.18-2.25
6 Sn 0.2500 0.0998 0.0677  4 O 2.21-2.25
7 F 0.2500 0.7628 0.7608  1 Sn 2.07
8 Sn 0.2500 0.1255 0.7734  1 F 2.09, 2 O 2.18
9 Sn 0.7500 0.3006 0.9113  1 F 2.07, 2 O 2.20
10 O 0.5028 0.1003 0.9163  4 Sn 2.18-2.25
11 O 0.9972 0.1003 0.9163  4 Sn 2.18-2.25
12 Sn 0.7500 0.6255 0.7266  1 F 2.09, 2 O 2.18
13 F 0.7500 0.8483 0.6645  1 Sn 2.09
14 F 0.7500 0.6517 0.1645  1 Sn 2.09
15 F 0.2500 0.7372 0.2608  1 Sn 2.07
16 Sn 0.2500 0.6994 0.0887  1 F 2.07, 2 O 2.20
17 Sn 0.7500 0.5998 0.4323  4 O 2.21-2.25
18 F 0.7500 0.2372 0.2392  1 Sn 2.07
19 F 0.7500 0.2628 0.7392  1 Sn 2.07
20 Sn 0.2500 0.8006 0.5887  1 F 2.07, 2 O 2.20
21 F 0.2500 0.3483 0.8355  1 Sn 2.09
22 Sn 0.2500 0.3745 0.2734  1 F 2.09, 2 O 2.18
23 O 0.4972 0.6003 0.5837  4 Sn 2.18-2.25
24 O 0.9972 0.3997 0.4163  4 Sn 2.18-2.25
25 Sn 0.7500 0.9002 0.9323  4 O 2.21-2.25
26 F 0.2500 0.1517 0.3355  1 Sn 2.09
27 Sn 0.7500 0.8745 0.2266  1 F 2.09, 2 O 2.18
28 O 0.5028 0.3997 0.4163  4 Sn 2.18-2.25

Calculated values
Calculated volume = 19.96 Å³ per atom
Energy relative to the elements, uncorrected = -1653 meV per atom
Total energy = -154.81 eV per cell

No. 3
Material: Sn2OF2
Method: DFT, GGA-PBEsol
State: relaxed

abc: 5.5121 7.8055 7.8055
angles: 90.00 90.00 90.00
Closest atoms and distances in Å follow each position.
Element x y z (fractional)
1 F 0.0000 0.8003 0.1997  4 Sn 2.42-2.55
2 Sn 0.8208 0.2294 0.5000  2 O 2.14-2.39
3 O 0.6080 0.0000 0.5000  4 Sn 2.14-2.39
4 O 0.1080 0.0000 0.5000  4 Sn 2.14-2.39
5 Sn 0.1792 0.5000 0.7706  2 O 2.14-2.39
6 F 0.5000 0.3003 0.6997  4 Sn 2.42-2.55
7 F 0.5000 0.6997 0.6997  4 Sn 2.42-2.55
8 F 0.0000 0.1997 0.1997  4 Sn 2.42-2.55
9 Sn 0.8208 0.7706 0.5000  2 O 2.14-2.39
10 F 0.5000 0.3003 0.3003  4 Sn 2.42-2.55
11 Sn 0.1792 0.5000 0.2294  2 O 2.14-2.39
12 Sn 0.3209 0.0000 0.2706  2 O 2.14-2.39
13 F 0.0000 0.1997 0.8003  4 Sn 2.42-2.55
14 F 0.5000 0.6997 0.3003  4 Sn 2.42-2.55
15 O 0.3920 0.5000 0.0000  4 Sn 2.14-2.39
16 Sn 0.6792 0.7294 0.0000  2 O 2.14-2.39
17 Sn 0.6792 0.2706 0.0000  2 O 2.14-2.39
18 O 0.8920 0.5000 0.0000  4 Sn 2.14-2.39
19 Sn 0.3209 0.0000 0.7294  2 O 2.14-2.39
20 F 0.0000 0.8003 0.8003  4 Sn 2.42-2.55

Calculated values
Calculated volume = 16.79 Å³ per atom
Energy relative to the elements, uncorrected = -1842 meV per atom
Total energy = -107.33 eV per cell

No. 4
Material: SrSnO2F
Method: DFT, GGA-PBEsol
State: relaxed

abc: 4.2690 4.2690 4.3609
angles: 90.00 90.00 90.00
Closest atoms and distances in Å follow each position.
Element x y z (fractional)
1 O 0.5000 0.0000 0.0000  2 Sn 2.13
2 F 0.0000 0.0000 0.5000  2 Sn 2.18
3 O 0.0000 0.5000 0.0000  2 Sn 2.13
4 Sr 0.5000 0.5000 0.5000  4 F 3.02, 8 O 3.05
5 Sn 0.0000 0.0000 0.0000  4 O 2.13, 2 F 2.18

Calculated values
Calculated volume = 15.89 Å³ per atom
Energy relative to the elements, uncorrected = -2122 meV per atom
Total energy = -29.14 eV per cell

No. 5
Material: TiSnO2F
Method: DFT, GGA-PBEsol
State: relaxed

abc: 3.9370 3.9370 4.0570
angles: 90.00 90.00 90.00
Closest atoms and distances in Å follow each position.
Element x y z (fractional)
1 Sn 0.5000 0.5000 0.5000  4 F 2.78, 8 O 2.83
2 Ti 0.0000 0.0000 0.0000  4 O 1.97, 2 F 2.03
3 F 0.0000 0.0000 0.5000  2 Ti 2.03
4 O 0.0000 0.5000 0.0000  2 Ti 1.97
5 O 0.5000 0.0000 0.0000  2 Ti 1.97

Calculated values
Calculated volume = 12.58 Å³ per atom
Energy relative to the elements, uncorrected = -2169 meV per atom
Total energy = -35.85 eV per cell

No. 6
Material: SnWO2F
Method: DFT, GGA-PBEsol
State: relaxed

abc: 3.8984 3.8984 4.5113
angles: 90.00 90.00 90.00
Closest atoms and distances in Å follow each position.
Element x y z (fractional)
1 O 0.5000 0.0000 0.0000  2 W 1.95
2 W 0.0000 0.0000 0.0000  4 O 1.95
3 F 0.0000 0.0000 0.5000  2 W 2.26
4 Sn 0.5000 0.5000 0.5000  4 F 2.76, 8 O 2.98
5 O 0.0000 0.5000 0.0000  2 W 1.95

Calculated values
Calculated volume = 13.71 Å³ per atom
Energy relative to the elements, uncorrected = -1281 meV per atom
Total energy = -36.90 eV per cell

No. 7
Material: SnWOF2
Method: DFT, GGA-PBEsol
State: relaxed

abc: 3.8340 4.3242 4.3242
angles: 90.00 90.00 90.00
Closest atoms and distances in Å follow each position.
Element x y z (fractional)
1 F 0.0000 0.0000 0.5000  2 W 2.16
2 W 0.0000 0.0000 0.0000  2 O 1.92
3 O 0.5000 0.0000 0.0000  2 W 1.92
4 Sn 0.5000 0.5000 0.5000  8 F 2.89, 4 O 3.06
5 F 0.0000 0.5000 0.0000  2 W 2.16

Calculated values
Calculated volume = 14.34 Å³ per atom
Energy relative to the elements, uncorrected = -1074 meV per atom
Total energy = -32.54 eV per cell

No. 8
Material: YSnO2F
Method: DFT, GGA-PBEsol
State: relaxed

abc: 4.2270 4.2270 4.3017
angles: 90.00 90.00 90.00
Closest atoms and distances in Å follow each position.
Element x y z (fractional)
1 F 0.0000 0.0000 0.5000  2 Sn 2.15
2 Sn 0.0000 0.0000 0.0000  4 O 2.11, 2 F 2.15
3 Y 0.5000 0.5000 0.5000  4 F 2.99, 8 O 3.02
4 O 0.5000 0.0000 0.0000  2 Sn 2.11
5 O 0.0000 0.5000 0.0000  2 Sn 2.11

Calculated values
Calculated volume = 15.37 Å³ per atom
Energy relative to the elements, uncorrected = -1589 meV per atom
Total energy = -31.45 eV per cell

- Look up the energy relative to the elements, uncorrected of the second one.
  -1653 meV per atom